1.
## BeInFeAs (PBE)

Data for a relaxed structure of BeInFeAs.

Output
energy above the lowest structure with this stoichiometry	0.087	eV per atom
calculated density	6.55	g cm⁻³

a b c (Å): 6.3688 6.3688 6.3688
angles (deg): 90.00 90.00 90.00
Last column: nearest neighbours and their distance in Å.
Space group F-43m (No. 216)
Asymmetric unit:
Be1 0.0000 0.0000 0.0000 [4 per cell]  4 In 2.76, 4 Fe 2.76
In1 0.2500 0.2500 0.7500 [4 per cell]  4 As 2.76, 4 Be 2.76
Fe1 0.2500 0.2500 0.2500 [4 per cell]  4 As 2.76, 4 Be 2.76
As1 0.0000 0.0000 0.5000 [4 per cell]  4 Fe 2.76, 4 In 2.76

2.
## HoHf2 (PBE)

Data for a relaxed structure of HoHf2.

Output
energy of formation	1033	kJ/mol of formula units
energy above the lowest structure with this stoichiometry	3.448	eV per atom
calculated density	3.43	g cm⁻³

a b c (Å): 12.6445 12.6445 12.6445
angles (deg): 90.00 90.00 90.00
Last column: nearest neighbours and their distance in Å.
Space group Fd-3m (No. 227, origin choice 2)
Asymmetric unit:
Ho1 0.1250 0.1250 0.1250 [8 per cell]  4 Hf 2.74
Hf1 0.0000 0.0000 0.0000 [16 per cell]  2 Ho 2.74

3.
## Y3TaB7 (PBE)

Data for a relaxed structure of Y3TaB7.

Output
raw total energy	-6.6357	eV/atom
calculated density	4.70	g cm⁻³

a b c (Å): 5.9991 28.0814 4.3938
angles (deg): 90.00 90.00 90.00
Last column: nearest neighbours and their distance in Å.
Space group Amm2 (No. 38)
Asymmetric unit:
Y1 0.0000 0.1597 0.9996 [4 per cell]  4 B 2.53, 2 Ta 2.82
Y2 0.2441 0.0607 0.0000 [8 per cell]  4 B 2.77-3.08, 2 Y 2.93-3.07
Ta1 0.0000 0.2227 0.4990 [4 per cell]  4 B 2.25-2.43
B1 0.0000 0.0904 0.5000 [4 per cell]  2 B 1.66
B2 0.1762 0.1361 0.4998 [8 per cell]  2 B 1.62-1.66
B3 0.3516 0.1800 0.5001 [8 per cell]  3 B 1.62-1.81
B4 0.3609 0.2444 0.5010 [8 per cell]  2 B 1.67-1.81

4.
## DyTm3Lu2Sb2Os (PBE)

Data for a relaxed structure of DyTm3Lu2Sb2Os.

Output
raw total energy	-5.8428	eV/atom
calculated density	10.23	g cm⁻³

a b c (Å): 4.1807 13.9487 8.0887
angles (deg): 90.00 90.00 90.00
Last column: nearest neighbours and their distance in Å.
Space group Amm2 (No. 38)
Asymmetric unit:
Dy1 0.0000 0.0000 0.0000 [2 per cell]  1 Os 3.22, 4 Sb 3.26, 4 Tm 3.46
Tm1 0.5000 0.0000 0.6306 [2 per cell]  2 Os 2.81, 2 Sb 3.14
Tm2 0.5000 0.1182 0.2736 [4 per cell]  2 Os 2.85, 2 Sb 3.13-3.18
Lu1 0.0000 0.1939 0.5843 [4 per cell]  1 Os 3.10, 4 Sb 3.25-3.26, 4 Tm 3.44
Sb1 0.5000 0.1676 0.8903 [4 per cell]  3 Tm 3.13-3.18, 4 Lu 3.25-3.26, 2 Dy 3.26
Os1 0.0000 0.0000 0.3976 [2 per cell]  6 Tm 2.81-2.85, 2 Lu 3.10

5.
## InCu17 (PBE)

Data for a relaxed structure of InCu17.

Output
energy above the lowest structure with this stoichiometry	0.003	eV per atom
calculated density	5.61	g cm⁻³

a b c (Å): 4.4047 5.1028 31.4962
angles (deg): 90.00 90.09 90.00
Last column: nearest neighbours and their distance in Å.
Space group P2_1/m (No. 11)
Asymmetric unit:
In1 0.1672 0.2500 0.2837 [2 per cell]  6 Cu 2.64
Cu1 0.0000 0.0000 0.0000 [2 per cell]  12 Cu 2.53-2.55
Cu2 0.9999 0.0011 0.1969 [4 per cell]  11 Cu 2.54-2.56
Cu3 0.1659 0.7500 0.2627 [2 per cell]  7 Cu 2.53-2.54, 2 In 2.64
Cu4 0.1668 0.7500 0.0655 [2 per cell]  12 Cu 2.53-2.55
Cu5 0.1665 0.7500 0.8691 [2 per cell]  12 Cu 2.54-2.55
Cu6 0.1676 0.2500 0.0654 [2 per cell]  12 Cu 2.53-2.55
Cu7 0.1677 0.2500 0.8690 [2 per cell]  12 Cu 2.54-2.55
Cu8 0.3331 0.9999 0.1312 [4 per cell]  12 Cu 2.54-2.55
Cu9 0.3332 0.0000 0.9347 [4 per cell]  12 Cu 2.53-2.55
Cu10 0.3333 0.0063 0.7370 [4 per cell]  7 Cu 2.49-2.62, 2 In 2.64
Cu11 0.5002 0.2500 0.9999 [2 per cell]  12 Cu 2.53-2.55
Cu12 0.5001 0.2500 0.1970 [2 per cell]  11 Cu 2.54-2.56
Cu13 0.5003 0.2500 0.8031 [2 per cell]  12 Cu 2.53-2.55

6.
## Ba2CdTcN6 (PBE)

Data for a relaxed structure of Ba2CdTcN6.

Output
raw total energy	-5.9416	eV/atom
calculated density	6.31	g cm⁻³

a b c (Å): 5.9520 5.9520 8.4491
angles (deg): 90.00 90.00 90.00
Last column: nearest neighbours and their distance in Å.
Space group I4/mmm (No. 139)
Asymmetric unit:
Ba1 0.0000 0.5000 0.2500 [4 per cell]  12 N 2.98-2.99
Cd1 0.0000 0.0000 0.0000 [2 per cell]  6 N 2.26-2.27
Tc1 0.0000 0.0000 0.5000 [2 per cell]  6 N 1.95
N1 0.0000 0.0000 0.2691 [4 per cell]  1 Tc 1.95
N2 0.2319 0.2319 0.5000 [8 per cell]  1 Tc 1.95

7.
## PmMgPO (PBE)

Data for a relaxed structure of PmMgPO.

Output
energy above the lowest structure with this stoichiometry	0.011	eV per atom
calculated density	4.46	g cm⁻³

a b c (Å): 4.5160 6.1075 5.8427
angles (deg): 90.00 90.00 90.00
Last column: nearest neighbours and their distance in Å.
Space group Pmc2_1 (No. 26)
Asymmetric unit:
Pm1 0.0000 0.2365 0.0000 [2 per cell]  2 O 2.36
Mg1 0.5000 0.3695 0.6072 [2 per cell]  2 O 2.00-2.02
P1 0.0000 0.2328 0.4957 [2 per cell]  2 Mg 2.49
O1 0.5000 0.3389 0.9513 [2 per cell]  2 Mg 2.00-2.02

8.
## SrBeCoAs (PBE)

Data for a relaxed structure of SrBeCoAs.

Output
energy above the lowest structure with this stoichiometry	0.000	eV per atom
calculated density	5.55	g cm⁻³

a b c (Å): 6.5078 6.5078 6.5078
angles (deg): 90.00 90.00 90.00
Last column: nearest neighbours and their distance in Å.
Space group F-43m (No. 216)
Asymmetric unit:
Sr1 0.0000 0.0000 0.0000 [4 per cell]  4 As 2.82, 4 Be 2.82
Be1 0.2500 0.2500 0.7500 [4 per cell]  4 Sr 2.82, 4 Co 2.82
Co1 0.0000 0.0000 0.5000 [4 per cell]  4 Be 2.82, 4 As 2.82
As1 0.2500 0.2500 0.2500 [4 per cell]  4 Co 2.82, 4 Sr 2.82

9.
## SmP2 (PBE)

Data for a relaxed structure of SmP2.

Output
raw total energy	-6.1340	eV/atom
calculated density	5.71	g cm⁻³

a b c (Å): 5.5109 5.2892 16.9563
angles (deg): 90.00 90.00 90.00
Last column: nearest neighbours and their distance in Å.
Space group Cmce (No. 64)
Asymmetric unit:
Sm1 0.0000 0.1196 0.1129 [8 per cell]  8 P 2.80-3.02
P1 0.0000 0.1135 0.4466 [8 per cell]  1 P 2.17
P2 0.2500 0.1364 0.7500 [8 per cell]  4 P 2.64-2.76

10.
## NiC (PBE)

Data for a relaxed structure of NiC.

Output
raw total energy	-6.4116	eV/atom
calculated density	5.70	g cm⁻³

a b c (Å): 3.0704 3.0704 5.0420
angles (deg): 90.00 90.00 120.00
Last column: nearest neighbours and their distance in Å.
Space group P6_3mc (No. 186)
Asymmetric unit:
Ni1 0.3333 0.6667 0.0000 [2 per cell]  4 C 1.88-1.90
C1 0.3333 0.6667 0.6236 [2 per cell]  4 Ni 1.88-1.90

11.
## GdLuW (PBE)

Data for a relaxed structure of GdLuW.

Output
energy of formation	399	kJ/mol of formula units
calculated density	10.53	g cm⁻³

a b c (Å): 6.8797 6.8797 6.8797
angles (deg): 90.00 90.00 90.00
Last column: nearest neighbours and their distance in Å.
Space group F-43m (No. 216)
Asymmetric unit:
Gd1 0.0000 0.0000 0.0000 [4 per cell]  4 Lu 2.98
Lu1 0.2500 0.2500 0.2500 [4 per cell]  4 Gd 2.98, 4 W 2.98
W1 0.0000 0.0000 0.5000 [4 per cell]  4 Lu 2.98

12.
## NdSnAuS3 (PBE)

Data for a relaxed structure of NdSnAuS3.

Output
raw total energy	-4.9635	eV/atom
calculated density	6.58	g cm⁻³

a b c (Å): 4.0214 13.1340 10.6236
angles (deg): 90.00 90.00 90.00
Last column: nearest neighbours and their distance in Å.
Space group Cmcm (No. 63)
Asymmetric unit:
Nd1 0.0000 0.0000 0.0000 [4 per cell]  6 S 2.87-2.94
Sn1 0.0000 0.2407 0.2500 [4 per cell]  6 S 2.95-3.08
Au1 0.0000 0.4673 0.7500 [4 per cell]  4 S 2.49-2.62
S1 0.0000 0.0952 0.7500 [4 per cell]  2 Au 2.62
S2 0.0000 0.3530 0.5633 [8 per cell]  1 Au 2.49

Please write out number 12 again, unchanged.
## NdSnAuS3 (PBE)

Data for a relaxed structure of NdSnAuS3.

Output
raw total energy	-4.9635	eV/atom
calculated density	6.58	g cm⁻³

a b c (Å): 4.0214 13.1340 10.6236
angles (deg): 90.00 90.00 90.00
Last column: nearest neighbours and their distance in Å.
Space group Cmcm (No. 63)
Asymmetric unit:
Nd1 0.0000 0.0000 0.0000 [4 per cell]  6 S 2.87-2.94
Sn1 0.0000 0.2407 0.2500 [4 per cell]  6 S 2.95-3.08
Au1 0.0000 0.4673 0.7500 [4 per cell]  4 S 2.49-2.62
S1 0.0000 0.0952 0.7500 [4 per cell]  2 Au 2.62
S2 0.0000 0.3530 0.5633 [8 per cell]  1 Au 2.49

Question: Among the records above, which one has the lowest calculated density?
Answer: HoHf2

Question: What is the formula in the fifth record?
Answer: InCu17

Question: Which value of calculated density does entry 1 give?
Answer: 6.55 g cm⁻³